No. 1
Crystalline MgInTc2 at its relaxed geometry, computed with PBE-GGA.

Cell and atoms, written as POSCAR:
```
MgInTc2
1.0
0.000 3.197 3.197
3.197 0.000 3.197
3.197 3.197 0.000
Mg In Tc
1 1 2
Cartesian
0.000 0.000 0.000
4.795 4.795 4.795
1.598 1.598 1.598
3.197 3.197 3.197
```

Properties
Calculated density: 8.5 g/cm³
V: 65.34 Å³/f.u.
Space-group type: F-43m (216)
Energy: -0.224 Ha/atom

No. 2
Crystalline MgInTcTe at its relaxed geometry, computed with PBE-GGA.

Cell and atoms, written as POSCAR:
```
MgInTcTe
1.0
0.000 3.407 3.407
3.407 0.000 3.407
3.407 3.407 0.000
Mg In Tc Te
1 1 1 1
Cartesian
0.000 0.000 0.000
5.110 5.110 5.110
3.407 3.407 3.407
1.703 1.703 1.703
```

Properties
Calculated density: 7.7 g/cm³
Polymorph energy (0 for the lowest one): 0 kJ/mol of formula units
V: 79.08 Å³/f.u.
Space-group type: F-43m (216)

No. 3
Crystalline MgZrInTe3 at its relaxed geometry, computed with PBE-GGA.

Cell and atoms, written as POSCAR:
```
MgZrInTe3
1.0
2.070 -7.631 0.000
2.070 7.631 0.000
0.000 0.000 11.195
Mg Zr In Te
2 2 2 6
Cartesian
2.070 6.905 8.397
2.070 -6.905 2.799
2.070 0.000 0.000
2.070 0.000 5.598
2.070 3.739 2.799
2.070 -3.739 8.397
2.070 5.517 6.005
2.070 5.517 10.788
2.070 1.155 8.397
2.070 -1.155 2.799
2.070 -5.517 0.407
2.070 -5.517 5.191
```

Properties
Calculated density: 5.8 g/cm³
V: 176.88 Å³/f.u.
Space-group type: Cmcm (63)
Energy: -0.158 Ha/atom

Among the records above, which one has the lowest calculated density? MgZrInTe3

What is the V in the first record? 65.34 Å³/f.u.

Among the records above, which one has the lowest V? MgInTc2